A plane-wave DFT calculation with PBE+U was carried out for AcFeAs2O8 after structural relaxation. Values from VASP.

Geometry as Quantum ESPRESSO input:
```
&SYSTEM
  ibrav = 0, nat = 12, ntyp = 4
/
ATOMIC_SPECIES
Ac 227.00 Ac.upf
Fe 55.84 Fe.upf
As 74.92 As.upf
O 16.00 O.upf
CELL_PARAMETERS angstrom
-3.6849 3.6849 3.1609
3.6849 -3.6849 3.1609
3.6849 3.6849 -3.1609
ATOMIC_POSITIONS angstrom
Ac 0.0000 0.0000 0.0000
Fe 0.0000 3.6849 1.5804
As 3.6849 0.0000 1.5804
As 0.0000 0.0000 3.1609
O 2.4586 0.0000 0.3670
O 4.9112 0.0000 0.3670
O 3.6849 2.2928 -1.0341
O 3.6849 -1.2263 2.7938
O 0.0000 1.3921 2.1268
O 3.6849 1.2263 2.7938
O 2.2928 3.6849 1.0341
O 1.3921 0.0000 4.1950
```

SG = No. 119
Total magnetic moment = 5.1 μB per cell
V = 14.3 Å³ per atom
Energy = -78.48 eV for the cell shown